No. 1
A geometry-optimized In2Cu17 structure, computed with PBE.

- ΔE_f: 6 kJ per mole of atoms
- E: -3.8899 eV/atom
- DOS at the Fermi energy: 5.44 states/eV/f.u.

Cell: 6.410 6.410 6.410 Å, 81.97 81.97 81.97°
Fractional coordinates of all 19 atoms:
In: 0.343 0.343 0.343
Cu: 0.654 0.654 0.157
Cu: 0.696 0.000 0.304
In: 0.657 0.657 0.657
Cu: 0.000 0.696 0.304
Cu: 0.902 0.902 0.902
Cu: 0.346 0.843 0.346
Cu: 0.304 0.696 0.000
Cu: 0.654 0.157 0.654
Cu: 0.304 0.000 0.696
Cu: 0.098 0.098 0.098
Cu: 0.000 0.500 0.000
Cu: 0.000 0.000 0.500
Cu: 0.000 0.304 0.696
Cu: 0.346 0.346 0.843
Cu: 0.157 0.654 0.654
Cu: 0.843 0.346 0.346
Cu: 0.500 0.000 0.000
Cu: 0.696 0.304 0.000



No. 2
A geometry-optimized InCu structure, computed with PBE.

- ΔE_f: 10 kJ per mole of atoms
- E: -3.3101 eV/atom
- DOS at the Fermi energy: 0.78 states/eV/f.u.

Cell: 3.167 3.167 7.517 Å, 90.00 90.00 90.00°
Fractional coordinates of all 4 atoms:
Cu: 0.250 0.250 0.077
Cu: 0.750 0.750 0.923
In: 0.250 0.250 0.685
In: 0.750 0.750 0.315



No. 3
A geometry-optimized In3Cu structure, computed with PBE.

- ΔE_f: 7 kJ per mole of atoms
- E: -3.0035 eV/atom
- DOS at the Fermi energy: 1.53 states/eV/f.u.

Cell: 7.057 7.057 7.057 Å, 154.01 142.44 46.24°
Fractional coordinates of all 4 atoms:
In: 0.314 0.314 0.000
In: 0.686 0.686 0.000
In: 0.000 0.500 0.500
Cu: 0.500 0.000 0.500



No. 4
A geometry-optimized InCu structure, computed with PBE.

- ΔE_f: 7 kJ per mole of atoms
- E: -3.3459 eV/atom
- DOS at the Fermi energy: 0.84 states/eV/f.u.

Cell: 3.102 11.826 6.176 Å, 90.00 90.00 90.00°
Fractional coordinates of all 12 atoms:
Cu: 0.500 0.889 0.401
In: 0.000 0.500 0.584
In: 0.000 0.719 0.230
In: 0.000 0.281 0.230
In: 0.000 0.000 0.084
In: 0.000 0.781 0.730
Cu: 0.000 0.000 0.651
Cu: 0.500 0.111 0.401
Cu: 0.000 0.500 0.151
Cu: 0.500 0.611 0.901
Cu: 0.500 0.389 0.901
In: 0.000 0.219 0.730



no.,total moment (μB per formula unit)
1,0.00
2,0.00
3,0.00
4,0.00